{"formula": "MnSbRhF2", "functional": "GGA-PBEsol", "state": "optimized geometry", "lattice_angstrom": [[-3.749, -0.504, -1.614], [-1.496, -0.839, 3.738], [-1.052, 5.341, 0.777]], "species": ["Sb", "Mn", "F", "Rh", "F"], "frac_coords": [[0.000, 0.000, 0.000], [0.000, 0.000, 0.500], [0.000, 0.500, 0.000], [0.500, 0.500, 0.500], [0.500, 0.000, 0.000]], "raw_formation_energy_ev_per_fu": -0.80, "spacegroup": "P4/mmm (123)"}


{"formula": "SrMn2RuF", "functional": "GGA-PBEsol", "state": "optimized geometry", "lattice_angstrom": [[4.616, 0.000, 0.000], [0.000, 4.640, 0.000], [0.000, 0.000, 4.640]], "species": ["Ru", "Mn", "Mn", "F", "Sr"], "frac_coords": [[0.000, 0.000, 0.000], [0.000, 0.500, 0.000], [0.000, 0.000, 0.500], [0.500, 0.000, 0.000], [0.500, 0.500, 0.500]], "raw_formation_energy_ev_per_fu": 1.54, "spacegroup": "P4/mmm (123)"}


{"formula": "MnSF2", "functional": "GGA-PBEsol", "state": "optimized geometry", "lattice_angstrom": [[-2.584, 0.970, -1.218], [-1.674, -1.871, -1.673], [-5.997, -2.980, 6.611]], "species": ["Mn", "S", "F", "F"], "frac_coords": [[0.500, 0.500, 0.500], [0.000, 0.000, 0.000], [0.873, 0.873, 0.380], [0.127, 0.127, 0.620]], "raw_formation_energy_ev_per_fu": -4.41, "spacegroup": "R-3m (166)"}


{"formula": "MnSb2F", "functional": "GGA-PBEsol", "state": "optimized geometry", "lattice_angstrom": [[-1.487, -1.227, -3.776], [3.760, -1.731, -0.918], [-3.929, -6.555, 6.057]], "species": ["F", "Sb", "Sb", "Mn", "Mn", "F", "Sb", "Sb"], "frac_coords": [[0.500, 0.500, 0.000], [0.125, 0.119, 0.750], [0.369, 0.875, 0.250], [0.000, 0.000, 0.000], [0.250, 0.750, 0.500], [0.750, 0.250, 0.500], [0.625, 0.631, 0.750], [0.881, 0.375, 0.250]], "raw_formation_energy_ev_per_fu": -0.73, "spacegroup": "I-42d (122)"}


{"formula": "MnSb2F12", "functional": "GGA-PBEsol", "state": "optimized geometry", "lattice_angstrom": [[5.160, 0.003, -0.020], [2.541, 4.921, -0.039], [0.171, 2.712, 8.429]], "species": ["Sb", "F", "Mn", "F", "F", "F", "Sb", "F", "F", "F", "F", "F", "F", "F", "F"], "frac_coords": [[0.771, 0.008, 0.236], [0.586, 0.764, 0.309], [0.500, 0.500, 0.500], [0.955, 0.238, 0.210], [0.048, 0.759, 0.432], [0.033, 0.755, 0.134], [0.229, 0.992, 0.764], [0.952, 0.241, 0.568], [0.476, 0.774, 0.628], [0.967, 0.245, 0.866], [0.045, 0.762, 0.790], [0.414, 0.236, 0.691], [0.478, 0.232, 0.063], [0.522, 0.768, 0.937], [0.524, 0.226, 0.372]], "raw_formation_energy_ev_per_fu": -34.53, "spacegroup": "P-1 (2)"}


{"formula": "MnSbF2", "functional": "GGA-PBEsol", "state": "optimized geometry", "lattice_angstrom": [[-2.949, -1.075, 0.630], [-1.351, -2.182, -1.914], [2.078, -7.730, 4.668]], "species": ["Sb", "F", "F", "Mn"], "frac_coords": [[0.000, 0.000, 0.000], [0.130, 0.130, 0.611], [0.870, 0.870, 0.389], [0.500, 0.500, 0.500]], "raw_formation_energy_ev_per_fu": -5.66, "spacegroup": "R-3m (166)", "polymorph_energy_mev_per_atom": 0.0}


{"formula": "Mn3SbF", "functional": "GGA-PBEsol", "state": "optimized geometry", "lattice_angstrom": [[4.267, 0.000, 0.000], [0.000, 4.267, 0.000], [0.000, 0.000, 4.267]], "species": ["Mn", "F", "Mn", "Sb", "Mn"], "frac_coords": [[0.000, 0.500, 0.000], [0.000, 0.000, 0.000], [0.000, 0.000, 0.500], [0.500, 0.500, 0.500], [0.500, 0.000, 0.000]], "raw_formation_energy_ev_per_fu": 0.69, "spacegroup": "Pm-3m (221)"}


{"formula": "MnTc2SbF", "functional": "GGA-PBEsol", "state": "optimized geometry", "lattice_angstrom": [[4.967, 0.000, 0.000], [0.000, 4.967, 0.000], [0.000, 0.000, 5.075]], "species": ["F", "Mn", "Sb", "Tc", "Tc"], "frac_coords": [[0.500, 0.500, 0.500], [0.000, 0.000, 0.500], [0.000, 0.000, 0.000], [0.500, 0.000, 0.000], [0.000, 0.500, 0.000]], "raw_formation_energy_ev_per_fu": 9.02, "spacegroup": "P4/mmm (123)"}


- Which formula does entry 1 have?
  MnSbRhF2